Entry 1:
# La3CeTlRh GGA-PBE relaxed
data_La3CeTlRh
_cell_length_a 16.8915
_cell_length_b 7.4193
_cell_length_c 6.0227
_cell_angle_alpha 90.00
_cell_angle_beta 110.73
_cell_angle_gamma 90.00
_symmetry_space_group_name_H-M 'C 1 2/m 1'
_symmetry_Int_Tables_number 12
_symmetry_space_group_name_Hall '-C 2y'
loop_
_atom_site_label
_atom_site_type_symbol
_atom_site_fract_x
_atom_site_fract_y
_atom_site_fract_z
_atom_site_occupancy
La1 La 0.1189 0.2396 0.1183 1
La2 La 0.1844 0.5000 0.6836 1
Ce1 Ce 0.0000 0.1882 0.5000 1
Tl1 Tl 0.1956 0.0000 0.6956 1
Rh1 Rh 0.0001 0.5000 0.2474 1
# **Formation energy from the elements**: -405 meV/atom

Entry 2:
# PaNi8Au3 GGA-PBE relaxed
data_PaNi8Au3
_cell_length_a 4.9143
_cell_length_b 4.9143
_cell_length_c 7.8914
_cell_angle_alpha 90.00
_cell_angle_beta 90.00
_cell_angle_gamma 120.00
_symmetry_space_group_name_H-M 'P 3 m 1'
_symmetry_Int_Tables_number 156
_symmetry_space_group_name_Hall 'P 3 -2"'
loop_
_atom_site_label
_atom_site_type_symbol
_atom_site_fract_x
_atom_site_fract_y
_atom_site_fract_z
_atom_site_occupancy
Pa1 Pa 0.0000 0.0000 0.0000 1
Ni1 Ni 0.1656 0.3311 0.6836 1
Ni2 Ni 0.3333 0.6667 0.4299 1
Ni3 Ni 0.3333 0.6667 0.9324 1
Ni4 Ni 0.5021 0.0042 0.1828 1
Au1 Au 0.0000 0.0000 0.3863 1
Au2 Au 0.6667 0.3333 0.4898 1
Au3 Au 0.6667 0.3333 0.8580 1
# **Formation energy from the elements**: -154 meV/atom

Entry 3:
# SiSb2TeW GGA-PBE relaxed
data_SiSb2TeW
_cell_length_a 5.0666
_cell_length_b 5.0666
_cell_length_c 5.1090
_cell_angle_alpha 90.00
_cell_angle_beta 90.00
_cell_angle_gamma 90.00
_symmetry_space_group_name_H-M 'P 4/m m m'
_symmetry_Int_Tables_number 123
_symmetry_space_group_name_Hall '-P 4 2'
loop_
_atom_site_label
_atom_site_type_symbol
_atom_site_fract_x
_atom_site_fract_y
_atom_site_fract_z
_atom_site_occupancy
Si1 Si 0.0000 0.0000 0.0000 1
Sb1 Sb 0.0000 0.5000 0.0000 1
Te1 Te 0.0000 0.0000 0.5000 1
W1 W 0.5000 0.5000 0.5000 1
# **Formation energy (no corrections)**: 137 kJ per mole of atoms
# **E above lowest polymorph**: 0.408 eV/atom

Energy list, top to bottom, in Ry per atom: -0.403; -0.413; -0.333